[1]
Compound: TmAl2Ag5
Source: the Alexandria database
Functional: PBE-GGA
Structure: relaxed

POSCAR file:
```
TmAl2Ag5
1.0
3.2458 0.0000 0.0000
1.6229 6.9145 -0.1908
1.6229 1.8983 6.6515
Tm Al Ag
1 2 5
Direct
0.0000 0.0000 0.0000
0.7504 0.7496 0.7496
0.2496 0.2504 0.2504
0.0000 0.5000 0.5000
0.6352 0.5921 0.1375
0.3648 0.4079 0.8625
0.3648 0.8625 0.4079
0.6352 0.1375 0.5921
```

Calculated values
Volume   18.81 Å³ per atom
Formation energy   -1.2 eV per formula unit
SG   Immm, No. 71
DFT total energy   -3.43 eV per atom


[2]
Compound: TlGaCo2W
Source: the Alexandria database
Functional: PBE-GGA
Structure: relaxed

POSCAR file:
```
TlGaCo2W
1.0
-3.0429 2.4930 2.3057
1.0554 -2.2484 3.8238
3.5596 3.4028 1.0184
Tl Co Ga W
1 2 1 1
Direct
0.5000 0.5000 0.5000
0.0000 0.5000 0.0000
0.5000 0.0000 0.0000
0.0000 0.0000 0.5000
0.0000 0.0000 0.0000
```

Calculated values
Volume   20.91 Å³ per atom
Formation energy   5.9 eV per formula unit
SG   P4/mmm, No. 123
DFT total energy   -5.34 eV per atom


[3]
Compound: CsSnB
Source: the Alexandria database
Functional: PBE-GGA
Structure: relaxed

POSCAR file:
```
CsSnB
1.0
15.9892 0.0000 0.0000
0.0000 3.3244 0.0000
0.0000 0.0000 7.4545
Cs B Sn
4 4 4
Direct
0.6385 0.2500 0.1732
0.8615 0.7500 0.6732
0.3615 0.7500 0.8268
0.1385 0.2500 0.3268
0.0000 0.0000 0.0000
0.5000 0.5000 0.5000
0.5000 0.0000 0.5000
0.0000 0.5000 0.0000
0.3836 0.2500 0.3208
0.1164 0.7500 0.8208
0.6164 0.7500 0.6792
0.8836 0.2500 0.1792
```

Calculated values
Volume   33.02 Å³ per atom
Formation energy   0.8 eV per formula unit
SG   Pnma, No. 62
DFT total energy   -3.57 eV per atom


[4]
Compound: K2NaPaF8
Source: the Alexandria database
Functional: PBE-GGA
Structure: relaxed

POSCAR file:
```
K2NaPaF8
1.0
5.9419 0.0000 0.0000
0.0000 5.9419 0.0000
-2.9709 -2.9709 5.6811
K Na Pa F
2 1 1 8
Direct
0.7500 0.2500 0.5000
0.0000 0.0000 0.0000
0.5000 0.5000 0.0000
0.2500 0.7500 0.5000
0.1526 0.6423 0.7274
0.5747 0.6423 0.7274
0.3577 0.4253 0.2726
0.9150 0.8474 0.2726
0.5747 0.0850 0.7274
0.3577 0.8474 0.2726
0.1526 0.0850 0.7274
0.9150 0.4253 0.2726
```

Calculated values
Volume   16.71 Å³ per atom
ΔE_f (raw)   -40.73 eV/f.u.
SG   I-4m2, No. 119
DFT total energy   -5.73 eV per atom